## TaOs2W (GGA-PBE)

Data for a geometry-optimized TaOs2W structure.

Output
DFT formation energy, eV/atom: 0.23
Energy above the most stable polymorph in this dataset, meV/atom: 262
DOS at the Fermi energy, states/eV/f.u.: 6.2

Unit cell a=9.5203 b=9.5203 c=9.5203 alpha=16.86 beta=16.86 gamma=16.86
With the nearest neighbours (Å) after each atom.
Positions (direct):
Os1 0.9987 0.9987 0.9987  9 Os 2.74-2.79, 3 W 2.77
Os2 0.2535 0.2535 0.2535  9 Os 2.74-2.79, 3 Ta 2.87
Ta1 0.5024 0.5024 0.5024  6 Ta 2.79, 3 Os 2.87, 3 W 3.01
W1 0.7454 0.7454 0.7454  3 Os 2.77, 6 W 2.79, 3 Ta 3.01

***

## Ta3OsW2 (GGA-PBE)

Data for a geometry-optimized Ta3OsW2 structure.

Output
DFT formation energy, eV/atom: -0.23
Energy above the most stable polymorph in this dataset, meV/atom: 23
DOS at the Fermi energy, states/eV/f.u.: 2.4

Unit cell a=3.2170 b=3.2170 c=9.7172 alpha=90.00 beta=90.00 gamma=90.00
With the nearest neighbours (Å) after each atom.
Positions (direct):
Ta1 0.0000 0.0000 0.0000  8 W 2.80
Ta2 0.0000 0.0000 0.6665  4 W 2.78, 4 Os 2.79
Ta3 0.0000 0.0000 0.3335  4 W 2.78, 4 Os 2.79
Os1 0.5000 0.5000 0.5000  8 Ta 2.79
W1 0.5000 0.5000 0.8312  8 Ta 2.78-2.80
W2 0.5000 0.5000 0.1688  8 Ta 2.78-2.80

***

## TaOs2W (GGA-PBE)

Data for a geometry-optimized TaOs2W structure.

Output
DFT formation energy, eV/atom: 0.12
Energy above the most stable polymorph in this dataset, meV/atom: 156
DOS at the Fermi energy, states/eV/f.u.: 2.9

Unit cell a=3.1441 b=3.1441 c=6.4875 alpha=90.00 beta=90.00 gamma=90.00
With the nearest neighbours (Å) after each atom.
Positions (direct):
Os1 0.0000 0.0000 0.9777  4 W 2.63, 4 Os 2.92
Os2 0.5000 0.5000 0.2701  4 Ta 2.65, 4 Os 2.92
Ta1 0.0000 0.0000 0.4918  4 Os 2.65, 4 W 2.82
W1 0.5000 0.5000 0.7604  4 Os 2.63, 4 Ta 2.82

***

## TaOs2W (GGA-PBE)

Data for a geometry-optimized TaOs2W structure.

Output
DFT formation energy, eV/atom: 0.09
Energy above the most stable polymorph in this dataset, meV/atom: 129
DOS at the Fermi energy, states/eV/f.u.: 6.6

Unit cell a=4.6223 b=4.6223 c=2.9688 alpha=90.00 beta=90.00 gamma=90.00
With the nearest neighbours (Å) after each atom.
Positions (direct):
Os1 0.0000 0.0000 0.0000  4 Ta 2.75, 4 W 2.75, 2 Os 2.97
Os2 0.5000 0.5000 0.0000  4 Ta 2.75, 4 W 2.75, 2 Os 2.97
Ta1 0.5000 0.0000 0.5000  8 Os 2.75, 2 Ta 2.97
W1 0.0000 0.5000 0.5000  8 Os 2.75, 2 W 2.97

***

## TaOsW (GGA-PBE)

Data for a geometry-optimized TaOsW structure.

Output
DFT formation energy, eV/atom: 0.42
Energy above the most stable polymorph in this dataset, meV/atom: 424
DOS at the Fermi energy, states/eV/f.u.: 2.4

Unit cell a=5.0776 b=4.7857 c=5.6254 alpha=76.15 beta=63.17 gamma=57.96
With the nearest neighbours (Å) after each atom.
Positions (direct):
W1 0.7500 0.5000 0.5000  2 W 2.54, 4 Os 2.71
W2 0.2500 0.5000 0.5000  2 W 2.54, 4 Os 2.71
Ta1 0.8341 0.3318 0.0000  3 Ta 2.69-2.88, 4 W 2.89, 2 Os 2.98
Ta2 0.1659 0.6682 0.0000  3 Ta 2.69-2.88, 4 W 2.89, 2 Os 2.98
Os1 0.6239 0.0000 0.7521  1 Os 2.49, 4 W 2.71
Os2 0.3761 0.0000 0.2479  1 Os 2.49, 4 W 2.71

***

## TaOsW (GGA-PBE)

Data for a geometry-optimized TaOsW structure.

Output
DFT formation energy, eV/atom: 0.04
Energy above the most stable polymorph in this dataset, meV/atom: 37
DOS at the Fermi energy, states/eV/f.u.: 2.2

Unit cell a=4.4637 b=4.4637 c=2.8075 alpha=90.00 beta=90.00 gamma=120.00
With the nearest neighbours (Å) after each atom.
Positions (direct):
Os1 0.0000 0.0000 0.0043  3 Ta 2.74, 3 W 2.75, 2 Os 2.81
Ta1 0.6667 0.3333 0.3358  3 W 2.73, 3 Os 2.74, 2 Ta 2.81
W1 0.3333 0.6667 0.6599  3 Ta 2.73, 3 Os 2.75, 2 W 2.81

***

## Ta6OsW (GGA-PBE)

Data for a geometry-optimized Ta6OsW structure.

Output
DFT formation energy, eV/atom: -0.19
DOS at the Fermi energy, states/eV/f.u.: 5.5

Unit cell a=4.5772 b=4.5771 c=7.3600 alpha=71.88 beta=71.93 gamma=90.00
With the nearest neighbours (Å) after each atom.
Positions (direct):
Ta1 0.7482 0.7481 0.5037  8 Ta 2.84-2.87
Ta2 0.6209 0.1207 0.7585  2 Os 2.79, 2 W 2.79, 4 Ta 2.84-2.87
Ta3 0.1208 0.6207 0.7585  2 W 2.79, 2 Os 2.79, 4 Ta 2.84-2.87
Ta4 0.3791 0.8793 0.2415  2 Os 2.79, 2 W 2.79, 4 Ta 2.84-2.87
Ta5 0.2518 0.2519 0.4963  8 Ta 2.84-2.87
Ta6 0.8792 0.3793 0.2415  2 W 2.79, 2 Os 2.79, 4 Ta 2.84-2.87
Os1 0.0000 0.0000 0.0000  8 Ta 2.79
W1 0.5000 0.5000 0.0000  8 Ta 2.79

***

## TaOs2W (GGA-PBE)

Data for a geometry-optimized TaOs2W structure.

Output
DFT formation energy, eV/atom: 1.39
Energy above the most stable polymorph in this dataset, meV/atom: 1422
DOS at the Fermi energy, states/eV/f.u.: 3.5

Unit cell a=5.7686 b=5.7686 c=7.0149 alpha=65.72 beta=65.72 gamma=90.00
With the nearest neighbours (Å) after each atom.
Positions (direct):
Os1 0.6360 0.1250 0.2500  2 W 2.45, 2 Ta 2.53
Os2 0.1140 0.6250 0.2500  2 W 2.45, 2 Ta 2.53
Os3 0.3750 0.3640 0.7500  2 W 2.45, 2 Ta 2.53
Os4 0.8750 0.8860 0.7500  2 W 2.45, 2 Ta 2.53
W1 0.0000 0.0000 0.0000  4 Os 2.45
W2 0.7500 0.2500 0.5000  4 Os 2.45
Ta1 0.5000 0.5000 0.0000  4 Os 2.53
Ta2 0.2500 0.7500 0.5000  4 Os 2.53

***

## TaOs2W (GGA-PBE)

Data for a geometry-optimized TaOs2W structure.

Output
DFT formation energy, eV/atom: 0.06
Energy above the most stable polymorph in this dataset, meV/atom: 100
DOS at the Fermi energy, states/eV/f.u.: 3.9

Unit cell a=4.2588 b=2.7871 c=5.5070 alpha=74.89 beta=90.00 gamma=90.00
With the nearest neighbours (Å) after each atom.
Positions (direct):
Os1 0.0000 0.0844 0.0012  2 Ta 2.64, 4 Os 2.68-2.88, 4 W 2.83-2.92
Os2 0.0000 0.4156 0.4988  2 Ta 2.64, 4 Os 2.68-2.88, 4 W 2.83-2.92
Ta1 0.5000 0.2500 0.2500  4 Os 2.64, 2 W 2.74, 2 Ta 2.79
W1 0.5000 0.7500 0.7500  2 Ta 2.74, 2 W 2.79, 8 Os 2.83-2.92

***

## TaOs2W (GGA-PBE)

Data for a geometry-optimized TaOs2W structure.

Output
DFT formation energy, eV/atom: 0.14
Energy above the most stable polymorph in this dataset, meV/atom: 179
DOS at the Fermi energy, states/eV/f.u.: 4.4

Unit cell a=5.2397 b=5.1880 c=2.7779 alpha=79.08 beta=81.09 gamma=117.61
With the nearest neighbours (Å) after each atom.
Positions (direct):
Os1 0.0000 0.0000 0.0000  2 W 2.70, 2 Ta 2.70, 4 Os 2.77-2.78
Os2 0.5000 0.0000 0.5000  2 Ta 2.70, 2 W 2.70, 4 Os 2.77-2.78
Ta1 0.0000 0.5000 0.5000  4 Os 2.70, 2 W 2.77, 2 Ta 2.78
W1 0.5000 0.5000 0.0000  4 Os 2.70, 2 Ta 2.77, 2 W 2.78

***

## Ta4OsW (GGA-PBE)

Data for a geometry-optimized Ta4OsW structure.

Output
DFT formation energy, eV/atom: 0.50
Energy above the most stable polymorph in this dataset, meV/atom: 725
DOS at the Fermi energy, states/eV/f.u.: 7.7

Unit cell a=5.3184 b=5.3184 c=5.3184 alpha=60.00 beta=60.00 gamma=60.00
With the nearest neighbours (Å) after each atom.
Positions (direct):
Ta1 0.8744 0.3752 0.3752  6 Ta 2.65-2.66
Ta2 0.3752 0.3752 0.8744  6 Ta 2.65-2.66
Ta3 0.3752 0.8744 0.3752  6 Ta 2.65-2.66
Ta4 0.3752 0.3752 0.3752  6 Ta 2.65-2.66
Os1 0.0000 0.0000 0.0000  12 Ta 3.12, 4 W 3.26
W1 0.7500 0.7500 0.7500  12 Ta 3.12, 4 Os 3.26

***

## TaOs2W (GGA-PBE)

Data for a geometry-optimized TaOs2W structure.

Output
DFT formation energy, eV/atom: 0.08
Energy above the most stable polymorph in this dataset, meV/atom: 115
DOS at the Fermi energy, states/eV/f.u.: 2.9

Unit cell a=5.2824 b=5.2824 c=5.2824 alpha=145.31 beta=130.10 gamma=62.20
With the nearest neighbours (Å) after each atom.
Positions (direct):
Os1 0.9884 0.9884 0.0000  2 W 2.71, 4 Ta 2.73, 4 Os 2.94-3.02
Os2 0.2632 0.7632 0.5000  2 Ta 2.68, 4 W 2.73, 2 Os 2.94
Ta1 0.5034 0.5034 0.0000  6 Os 2.68-2.73, 2 W 2.69
W1 0.7450 0.2450 0.5000  2 Ta 2.69, 6 Os 2.71-2.73

***

What did the twelfth record say?
## TaOs2W (GGA-PBE)

Data for a geometry-optimized TaOs2W structure.

Output
DFT formation energy, eV/atom: 0.08
Energy above the most stable polymorph in this dataset, meV/atom: 115
DOS at the Fermi energy, states/eV/f.u.: 2.9

Unit cell a=5.2824 b=5.2824 c=5.2824 alpha=145.31 beta=130.10 gamma=62.20
With the nearest neighbours (Å) after each atom.
Positions (direct):
Os1 0.9884 0.9884 0.0000  2 W 2.71, 4 Ta 2.73, 4 Os 2.94-3.02
Os2 0.2632 0.7632 0.5000  2 Ta 2.68, 4 W 2.73, 2 Os 2.94
Ta1 0.5034 0.5034 0.0000  6 Os 2.68-2.73, 2 W 2.69
W1 0.7450 0.2450 0.5000  2 Ta 2.69, 6 Os 2.71-2.73

***

Q: Which of these has the highest DOS at the Fermi energy?
A: Ta4OsW